Here is an optimized crystal structure of LiZn2Fe from Alexandria via LeMat-Bulk. Energies are from PBEsol.

Summary:
As for the density of states at the Fermi level: 2.45 states/eV per cell. As for the formation energy: -0.208 eV/f.u. For the total magnetic moment, the calculation gives 1.39 μB/f.u.

Unit cell a=4.256 b=4.256 c=2.688 alpha=90.00 beta=90.00 gamma=90.00
Space group P4/mmm (No. 123)
Asymmetric unit:
Li 0.000 0.000 0.000
Zn 0.000 0.500 0.500
Fe 0.500 0.500 0.000